The following is a PBE calculation of a relaxed IrRu crystal, from Alexandria via LeMat-Bulk.

V, Å³/cell: 312.8
E above lowest polymorph, eV per atom: 1.408
Total moment, μB per atom: 0.000
Formation enthalpy at 0 K, eV/atom: 1.35

Lattice parameters (Å, degrees): 6.7886 6.7886 6.7886 90.00 90.00 90.00
Element x y z (fractional)
Ir1 0.2500 0.0000 0.5000
Ir2 0.7500 0.0000 0.5000
Ir3 0.0000 0.5000 0.2500
Ir4 0.0000 0.5000 0.7500
Ir5 0.5000 0.2500 0.0000
Ir6 0.5000 0.7500 0.0000
Ru1 0.2500 0.5000 0.0000
Ru2 0.7500 0.5000 0.0000
Ru3 0.5000 0.0000 0.2500
Ru4 0.5000 0.0000 0.7500
Ru5 0.0000 0.2500 0.5000
Ru6 0.0000 0.7500 0.5000